[1]
Li2SiHg2 | PBE | relaxed

The structure belongs to space group P4/mbm (No. 127); the cell edges are 7.461, 7.461 and 3.323 Å and the angles 90.00°, 90.00° and 90.00°. Symmetry generates all atoms from Li at (0.157, 0.343, 0.000), Si at (0.000, 0.000, 0.500) and Hg at (0.145, 0.645, 0.500).

The value obtained for the total energy is -2.0340 eV/atom. The excess energy over the best structure of this formula in the dataset comes out at 0.000 eV/atom. The density of states at the Fermi level comes out at 1.30 states/eV/f.u. The uncorrected formation energy comes out at -63 meV per atom.


[2]
CeDyYAl | PBE | relaxed

The structure belongs to space group F-43m (No. 216); the cell edges are 7.550, 7.550 and 7.550 Å and the angles 90.00°, 90.00° and 90.00°. Symmetry generates all atoms from Ce at (0.000, 0.000, 0.000), Dy at (0.250, 0.250, 0.750), Y at (0.000, 0.000, 0.500) and Al at (0.250, 0.250, 0.250).

The value obtained for the total energy is -5.2236 eV/atom. The formation energy from the elements comes out at -0.04 eV/atom. The density of states at the Fermi level comes out at 8.36 states/eV/f.u.


[3]
TbGa4Ni2Os | PBE | relaxed

The structure belongs to space group R-3m (No. 166, hexagonal axes); the cell edges are 4.1208, 4.1208 and 26.4233 Å and the angles 90.00°, 90.00° and 120.00°. Symmetry generates all atoms from Tb at (0.0000, 0.0000, 0.0000), Ga at (0.0000, 0.0000, 0.1298), Ga at (0.0000, 0.0000, 0.4014), Ni at (0.0000, 0.0000, 0.2327) and Os at (0.0000, 0.0000, 0.5000).

The value obtained for the total energy is -5.2882 eV/atom. The formation energy from the elements comes out at -0.35 eV/atom. The density of states at the Fermi level comes out at 4.22 states/eV/f.u.


[4]
CsHfZnSb3 | PBE | relaxed

The structure belongs to space group P2_1/m (No. 11); the cell edges are 10.171, 4.104 and 10.571 Å and the angles 90.00°, 115.56° and 90.00°. Symmetry generates all atoms from Cs at (0.239, 0.250, 0.477), Hf at (0.371, 0.250, 0.051), Zn at (0.105, 0.750, 0.015), Sb at (0.069, 0.250, 0.827), Sb at (0.317, 0.750, 0.819) and Sb at (0.362, 0.750, 0.239).

The value obtained for the total energy is -4.3643 eV/atom. The density of states at the Fermi level comes out at 1.93 states/eV/f.u. The uncorrected formation energy comes out at -290 meV per atom.


[5]
Mn4IrRu | PBE | relaxed

The structure belongs to space group F-43m (No. 216); the cell edges are 6.604, 6.604 and 6.604 Å and the angles 90.00°, 90.00° and 90.00°. Symmetry generates all atoms from Mn at (0.125, 0.125, 0.125), Ir at (0.250, 0.250, 0.750) and Ru at (0.000, 0.000, 0.500).

The value obtained for the total energy is -9.1264 eV/atom. The formation energy from the elements comes out at 0.01 eV/atom. The density of states at the Fermi level comes out at 7.96 states/eV/f.u.


[6]
Tb5Bi2Au | PBE | relaxed

The structure belongs to space group Cmcm (No. 63); the cell edges are 5.792, 14.976 and 13.782 Å and the angles 90.00°, 90.00° and 90.00°. Symmetry generates all atoms from Tb at (0.000, 0.082, 0.114), Tb at (0.000, 0.287, 0.750), Tb at (0.000, 0.312, 0.037), Bi at (0.000, 0.127, 0.602) and Au at (0.000, 0.229, 0.250).

The value obtained for the total energy is -4.5118 eV/atom. The formation energy from the elements comes out at -0.24 eV/atom. The density of states at the Fermi level comes out at 9.04 states/eV/f.u.


[7]
Hg2IrRu | PBE | relaxed

The structure belongs to space group I-42d (No. 122); the cell edges are 7.612, 7.612 and 5.330 Å and the angles 90.00°, 90.00° and 90.00°. Symmetry generates all atoms from Hg at (0.249, 0.250, 0.125), Ir at (0.000, 0.000, 0.000) and Ru at (0.000, 0.000, 0.500).

The value obtained for the total energy is -3.6688 eV/atom. The excess energy over the best structure of this formula in the dataset comes out at 0.709 eV/atom. The formation energy from the elements comes out at 1.02 eV/atom. The density of states at the Fermi level comes out at 5.24 states/eV/f.u.


[8]
CaTa2Os | PBE | relaxed

The structure belongs to space group R-3m (No. 166, hexagonal axes); the cell edges are 3.0035, 3.0035 and 29.9981 Å and the angles 90.00°, 90.00° and 120.00°. Symmetry generates all atoms from Ca at (0.0000, 0.0000, 0.0000), Ta at (0.0000, 0.0000, 0.2380) and Os at (0.0000, 0.0000, 0.5000).

The value obtained for the total energy is -8.7350 eV/atom. The excess energy over the best structure of this formula in the dataset comes out at 0.297 eV/atom. The formation energy from the elements comes out at 0.50 eV/atom. The density of states at the Fermi level comes out at 5.29 states/eV/f.u.


[9]
SiPtRh2 | PBE | relaxed

The structure belongs to space group I-4m2 (No. 119); the cell edges are 3.884, 3.884 and 7.482 Å and the angles 90.00°, 90.00° and 90.00°. Symmetry generates all atoms from Si at (0.000, 0.000, 0.000), Pt at (0.000, 0.500, 0.750), Rh at (0.000, 0.000, 0.500) and Rh at (0.000, 0.500, 0.250).

The value obtained for the total energy is -6.8394 eV/atom. The density of states at the Fermi level comes out at 5.73 states/eV/f.u. The uncorrected formation energy comes out at -298 meV per atom.


[10]
AcHoErSc | PBE | relaxed

The structure belongs to space group F-43m (No. 216); the cell edges are 8.036, 8.036 and 8.036 Å and the angles 90.00°, 90.00° and 90.00°. Symmetry generates all atoms from Ac at (0.000, 0.000, 0.000), Ho at (0.000, 0.000, 0.500), Er at (0.250, 0.250, 0.250) and Sc at (0.250, 0.250, 0.750).

The value obtained for the total energy is -4.7711 eV/atom. The formation energy from the elements comes out at 0.12 eV/atom. The density of states at the Fermi level comes out at 5.59 states/eV/f.u.


[11]
Mn2AsP | PBE | relaxed

The structure belongs to space group P4mm (No. 99); the cell edges are 3.223, 3.223 and 5.091 Å and the angles 90.00°, 90.00° and 90.00°. Symmetry generates all atoms from Mn at (0.000, 0.000, 0.000), Mn at (0.500, 0.500, 0.326), As at (0.500, 0.500, 0.827) and P at (0.000, 0.000, 0.464).

The value obtained for the total energy is -7.3320 eV/atom. The formation energy from the elements comes out at -0.23 eV/atom. The density of states at the Fermi level comes out at 1.75 states/eV/f.u.


[12]
NbAlSeBr2 | PBE | relaxed

The structure belongs to space group P4/mmm (No. 123); the cell edges are 5.392, 5.392 and 5.034 Å and the angles 90.00°, 90.00° and 90.00°. Symmetry generates all atoms from Nb at (0.000, 0.000, 0.000), Al at (0.500, 0.500, 0.500), Se at (0.000, 0.000, 0.500) and Br at (0.000, 0.500, 0.000).

The value obtained for the total energy is -4.2812 eV/atom. The excess energy over the best structure of this formula in the dataset comes out at 0.000 eV/atom. The density of states at the Fermi level comes out at 2.04 states/eV/f.u. The uncorrected formation energy comes out at -153 meV per atom.


Which formula does entry 5 have?
Mn4IrRu


Please write out number 11 again, unchanged.
Mn2AsP | PBE | relaxed

The structure belongs to space group P4mm (No. 99); the cell edges are 3.223, 3.223 and 5.091 Å and the angles 90.00°, 90.00° and 90.00°. Symmetry generates all atoms from Mn at (0.000, 0.000, 0.000), Mn at (0.500, 0.500, 0.326), As at (0.500, 0.500, 0.827) and P at (0.000, 0.000, 0.464).

The value obtained for the total energy is -7.3320 eV/atom. The formation energy from the elements comes out at -0.23 eV/atom. The density of states at the Fermi level comes out at 1.75 states/eV/f.u.